[1]
# AgSb2Os

A relaxed AgSb2Os crystal (PBE-GGA, the Alexandria database).

Output
V: 86.5 Å³ per cell
uncorrected energy: -0.1934 hartree per atom
formation energy (no corrections): 0.319 eV/atom
excess energy over the best structure of this formula in the dataset: 0 meV/atom

```
data_AgSb2Os
_space_group_name_H-M_alt 'P 1 2/m 1'
_space_group_IT_number 10
_cell_length_a 3.165
_cell_length_b 3.212
_cell_length_c 8.511
_cell_angle_alpha 90.00
_cell_angle_beta 90.27
_cell_angle_gamma 90.00
loop_
_space_group_symop_operation_xyz
'x,y,z'
'-x,-y,-z'
'-x,y,-z'
'x,-y,z'
loop_
_atom_site_label
_atom_site_type_symbol
_atom_site_fract_x
_atom_site_fract_y
_atom_site_fract_z
_atom_site_occupancy
Ag1 Ag 0.000 0.000 0.000 1
Sb1 Sb 0.003 0.500 0.701 1
Os1 Os 0.500 0.000 0.500 1
```



[2]
# Zr2NiHg

A relaxed Zr2NiHg crystal (PBE-GGA, the Alexandria database).

Output
V: 76.7 Å³ per cell
formation energy: -0.217 eV/atom
uncorrected energy: -0.2209 hartree per atom

```
data_Zr2NiHg
_space_group_name_H-M_alt 'P 4/m m m'
_space_group_IT_number 123
_space_group_name_Hall '-P 4 2'
_cell_length_a 3.083
_cell_length_b 3.083
_cell_length_c 8.074
_cell_angle_alpha 90.00
_cell_angle_beta 90.00
_cell_angle_gamma 90.00
loop_
_atom_site_label
_atom_site_type_symbol
_atom_site_fract_x
_atom_site_fract_y
_atom_site_fract_z
_atom_site_occupancy
Zr1 Zr 0.000 0.000 0.213 1
Ni1 Ni 0.500 0.500 0.000 1
Hg1 Hg 0.500 0.500 0.500 1
```



[3]
# TmPtRhPb

A relaxed TmPtRhPb crystal (PBE-GGA, the Alexandria database).

Output
V: 311.8 Å³ per cell
formation energy: -0.625 eV/atom
uncorrected energy: -0.2212 hartree per atom

```
data_TmPtRhPb
_space_group_name_H-M_alt 'F -4 3 m'
_space_group_IT_number 216
_space_group_name_Hall 'F -4 2 3'
_cell_length_a 6.781
_cell_length_b 6.781
_cell_length_c 6.781
_cell_angle_alpha 90.00
_cell_angle_beta 90.00
_cell_angle_gamma 90.00
loop_
_atom_site_label
_atom_site_type_symbol
_atom_site_fract_x
_atom_site_fract_y
_atom_site_fract_z
_atom_site_occupancy
Tm1 Tm 0.000 0.000 0.000 1
Pt1 Pt 0.250 0.250 0.750 1
Rh1 Rh 0.250 0.250 0.250 1
Pb1 Pb 0.000 0.000 0.500 1
```



[4]
# NpCl6

A relaxed NpCl6 crystal (PBE-GGA, the Alexandria database).

Output
V: 1073.7 Å³ per cell
uncorrected energy: -0.1745 hartree per atom
formation energy (no corrections): -1.316 eV/atom

```
data_NpCl6
_space_group_name_H-M_alt 'P n m a'
_space_group_IT_number 62
_cell_length_a 13.100
_cell_length_b 11.920
_cell_length_c 6.876
_cell_angle_alpha 90.00
_cell_angle_beta 90.00
_cell_angle_gamma 90.00
loop_
_space_group_symop_operation_xyz
'x,y,z'
'-x,-y,-z'
'-x+1/2,-y,z+1/2'
'x+1/2,y,-z+1/2'
'x+1/2,-y+1/2,-z+1/2'
'-x+1/2,y+1/2,z+1/2'
'-x,y+1/2,-z'
'x,-y+1/2,z'
loop_
_atom_site_label
_atom_site_type_symbol
_atom_site_fract_x
_atom_site_fract_y
_atom_site_fract_z
_atom_site_occupancy
Np1 Np 0.130 0.250 0.096 1
Cl1 Cl 0.013 0.250 0.817 1
Cl2 Cl 0.026 0.104 0.254 1
Cl3 Cl 0.234 0.105 0.939 1
Cl4 Cl 0.247 0.250 0.376 1
```



[5]
# YMg3S4

A relaxed YMg3S4 crystal (PBE-GGA, the Alexandria database).

Output
V: 304.5 Å³ per cell
uncorrected energy: -0.1817 hartree per atom
formation energy (no corrections): -1.475 eV/atom

```
data_YMg3S4
_space_group_name_H-M_alt 'C m m m'
_space_group_IT_number 65
_space_group_name_Hall '-C 2 2'
_cell_length_a 7.644
_cell_length_b 10.719
_cell_length_c 3.716
_cell_angle_alpha 90.00
_cell_angle_beta 90.00
_cell_angle_gamma 90.00
loop_
_atom_site_label
_atom_site_type_symbol
_atom_site_fract_x
_atom_site_fract_y
_atom_site_fract_z
_atom_site_occupancy
Y1 Y 0.000 0.000 0.000 1
Mg1 Mg 0.000 0.500 0.000 1
Mg2 Mg 0.250 0.250 0.500 1
S1 S 0.000 0.256 0.000 1
S2 S 0.235 0.500 0.500 1
```



[6]
# Pr2ErAu

A relaxed Pr2ErAu crystal (PBE-GGA, the Alexandria database).

Output
V: 119.2 Å³ per cell
formation energy: -0.392 eV/atom
uncorrected energy: -0.1742 hartree per atom
excess energy over the best structure of this formula in the dataset: 0 meV/atom

```
data_Pr2ErAu
_space_group_name_H-M_alt 'P 4 m m'
_space_group_IT_number 99
_cell_length_a 3.673
_cell_length_b 3.673
_cell_length_c 8.833
_cell_angle_alpha 90.00
_cell_angle_beta 90.00
_cell_angle_gamma 90.00
loop_
_space_group_symop_operation_xyz
'x,y,z'
'-y,x,z'
'-x,-y,z'
'y,-x,z'
'-x,y,z'
'y,x,z'
'x,-y,z'
'-y,-x,z'
loop_
_atom_site_label
_atom_site_type_symbol
_atom_site_fract_x
_atom_site_fract_y
_atom_site_fract_z
_atom_site_occupancy
Pr1 Pr 0.000 0.000 0.000 1
Pr2 Pr 0.500 0.500 0.302 1
Er1 Er 0.000 0.000 0.595 1
Au1 Au 0.500 0.500 0.765 1
```